No. 1
Crystalline MnRe2Ir at its relaxed geometry, computed with PBE.

```
MnRe2Ir
1.0
4.5194 -1.3602 0.0000
4.5194 1.3602 0.0000
-0.7807 0.0000 4.6164
Mn Re Ir
1 2 1
Direct
0.0000 0.0000 0.0000
0.2474 0.2474 0.7516
0.7526 0.7526 0.2484
0.5000 0.5000 0.5000
```

Computed properties:
Energy relative to the elements ... -20 meV/atom
ΔE to the lowest computed polymorph ... 0.23 eV/f.u.
Density ... 18.1 g/cm3

No. 2
Crystalline Mn2ReIr at its relaxed geometry, computed with PBE.

```
Mn2ReIr
1.0
3.7751 0.0000 0.0000
0.0000 3.7751 0.0000
0.0000 0.0000 3.6552
Mn Re Ir
2 1 1
Direct
0.0000 0.5000 0.0000
0.5000 0.0000 0.0000
0.0000 0.0000 0.5000
0.5000 0.5000 0.5000
```

Computed properties:
Energy relative to the elements ... -72 meV/atom
Density ... 15.6 g/cm3

No. 3
Crystalline MnReIr2 at its relaxed geometry, computed with PBE.

```
MnReIr2
1.0
0.0000 3.0531 3.0531
3.0531 0.0000 3.0531
3.0531 3.0531 0.0000
Mn Re Ir
1 1 2
Direct
0.0000 0.0000 0.0000
0.5000 0.5000 0.5000
0.2500 0.2500 0.2500
0.7500 0.7500 0.7500
```

Computed properties:
Energy relative to the elements ... 483 meV/atom
ΔE to the lowest computed polymorph ... 2.75 eV/f.u.
Density ... 18.2 g/cm3